! LiYPaSe4 (PBE, relaxed); values from VASP
&SYSTEM
  ibrav = 0, nat = 14, ntyp = 4
/
ATOMIC_SPECIES
Li 6.94 Li.upf
Y 88.91 Y.upf
Pa 231.04 Pa.upf
Se 78.96 Se.upf
CELL_PARAMETERS angstrom
-4.1305 4.1915 5.8647
4.1305 -4.1915 5.8647
4.1305 4.1915 -5.8647
ATOMIC_POSITIONS angstrom
Li 0.0000 2.0957 1.5446
Li 4.1305 2.0957 4.3200
Y 2.0653 2.0957 -2.9323
Y 2.0653 -2.0957 2.9323
Pa 4.1305 0.0000 0.0000
Pa 0.0000 0.0000 5.8647
Se 4.1305 -0.0932 2.8439
Se 2.1597 2.0957 -0.0454
Se 4.1305 4.0983 -2.8439
Se 6.1013 2.0957 -0.0454
Se -1.9708 2.0957 5.9101
Se 0.0000 0.0932 8.7086
Se 1.9708 2.0957 5.9101
Se 0.0000 4.2847 3.0208
! formation energy without anion corrections	-1.5340	eV/atom